This record from the Alexandria database describes an optimized crystal structure of BaSr2I6. The functional is PBEsol.

Values from the calculation:
The raw formation energy is -1.67 eV/atom. The value obtained for the total energy is -0.257 Ry per atom.

Geometry as extended XYZ:
```
9
Lattice="7.272 0.000 0.000 0.000 8.267 0.000 0.000 -4.134 7.160" Properties=species:S:1:pos:R:3 pbc="T T T"
I 1.803 -2.675 4.633
I 5.469 -1.458 2.526
I 1.803 5.350 0.000
I 5.469 2.917 0.000
I 5.469 2.675 4.633
I 1.803 1.458 2.526
Sr 3.636 4.134 2.387
Sr 3.636 0.000 4.773
Ba 0.000 0.000 0.000
```

This record from the Alexandria database describes an optimized crystal structure of Ba2SrI6. The functional is PBEsol.

Values from the calculation:
The raw formation energy is -1.67 eV/atom. The value obtained for the total energy is -0.259 Ry per atom.

Geometry as extended XYZ:
```
9
Lattice="7.017 0.000 0.000 0.000 8.571 0.000 0.000 -4.285 7.422" Properties=species:S:1:pos:R:3 pbc="T T T"
I 1.679 -2.881 4.990
I 5.338 -1.404 2.432
I 1.679 5.762 0.000
I 5.338 2.808 0.000
I 5.338 2.881 4.990
I 1.679 1.404 2.432
Sr 0.000 0.000 0.000
Ba 3.509 4.285 2.474
Ba 3.509 0.000 4.948
```

This record from the Alexandria database describes an optimized crystal structure of BaSr2I6. The functional is PBEsol.

Values from the calculation:
The raw formation energy is -1.69 eV/atom. The value obtained for the total energy is -0.258 Ry per atom.

Geometry as extended XYZ:
```
18
Lattice="7.989 0.000 0.000 0.000 7.991 0.000 0.000 -3.996 12.041" Properties=species:S:1:pos:R:3 pbc="T T T"
Ba 3.994 0.000 0.000
Ba 0.000 3.996 0.000
Sr 0.000 3.996 7.989
Sr 3.994 3.996 4.052
Sr 0.000 0.000 4.052
Sr 3.994 0.000 7.989
I 1.996 5.995 2.095
I 5.992 5.984 6.020
I 5.991 5.992 2.095
I 1.998 2.000 2.095
I 1.996 2.000 9.946
I 1.997 2.007 6.020
I 5.992 1.988 6.020
I 5.991 1.996 9.946
I 5.992 1.996 2.095
I 1.998 -1.996 9.946
I 1.997 -1.988 6.020
I 5.992 -2.000 9.946
```